VASP calculation (GGA-PBE) on a relaxed Ba3Al3In8 crystal.

## Properties
magnetic moment = 0.00 μB/f.u.
formation enthalpy at 0 K = -26.1 kJ/mol of atoms
E = -3.05 eV per atom
density of states at the Fermi level = 6.29 states/eV per cell

Unit cell a=4.9174 b=9.5696 c=9.5513 alpha=71.69 beta=75.08 gamma=75.11
Fractional positions:
Ba  0.3165  0.6819  0.6850
Ba  0.6835  0.3181  0.3150
Ba  0.0000  0.0000  0.0000
Al  0.0000  0.5000  0.5000
Al  0.6599  0.7084  0.9719
Al  0.3401  0.2916  0.0281
In  0.1450  0.1322  0.5778
In  0.8550  0.8678  0.4222
In  0.8451  0.4246  0.8851
In  0.1549  0.5754  0.1149
In  0.5027  0.7075  0.2870
In  0.4973  0.2925  0.7130
In  0.3388  0.0406  0.2818
In  0.6612  0.9594  0.7182